ReNiPb | PBE | relaxed

## Properties
For the formation energy, the calculation gives 72.51 kJ per mole of atoms. For the calculated density, the calculation gives 14.1 Mg/m³. The energy comes out at -6.561 eV/atom. The value obtained for the magnetic moment is 0.000 μB per atom.

Cell lengths 5.6567, 5.6567, 5.6567 Å; angles 150.45, 143.21, 47.87 degrees
With the nearest neighbours (Å) after each atom.
Sites, in units of the cell vectors:
Re 0.0000 0.0000 0.0000  4 Ni 2.51
Ni 0.5994 0.5994 0.0000  4 Re 2.51
Pb 0.2936 0.2936 0.0000  2 Pb 2.89, 5 Re 3.04-3.13, 5 Ni 3.05-3.16